The following is a GGA-PBEsol calculation of an optimized crystal structure of Ba4GaB10H7O24, from Alexandria.

Unit cell a=7.0353 b=7.0353 c=22.4580 alpha=93.46 beta=93.46 gamma=120.19
Last column: nearest neighbours and their distance in Å.
Sites, in units of the cell vectors:
Ba (0.0759, 0.9241, 0.5000)  7 O 2.71-2.91
Ba (0.2064, 0.6055, 0.2479)  10 O 2.73-2.94, 1 H 3.01
Ba (0.2149, 0.7359, 0.8767)  7 O 2.64-2.90, 1 H 2.95
Ba (0.4237, 0.5947, 0.6107)  10 O 2.71-3.01, 1 H 3.00
Ba (0.5947, 0.4237, 0.1107)  10 O 2.71-3.01, 1 H 3.00
Ba (0.6055, 0.2064, 0.7479)  10 O 2.73-2.94, 1 H 3.01
Ba (0.7359, 0.2149, 0.3767)  7 O 2.64-2.90, 1 H 2.95
Ba (0.9241, 0.0759, 0.0000)  7 O 2.71-2.91
Ga (0.8874, 0.9513, 0.2270)  4 O 1.81-1.89
Ga (0.9513, 0.8874, 0.7270)  4 O 1.81-1.89
B (0.0986, 0.9074, 0.1248)  3 O 1.37-1.38
B (0.1279, 0.3291, 0.7636)  3 O 1.36-1.38
B (0.1442, 0.5822, 0.0979)  4 O 1.45-1.54
B (0.1938, 0.6852, 0.7271)  4 O 1.46-1.51
B (0.3104, 0.8923, 0.0396)  4 O 1.45-1.54
B (0.3269, 0.6857, 0.4032)  4 O 1.44-1.52
B (0.3291, 0.1279, 0.2636)  3 O 1.36-1.38
B (0.5004, 0.5424, 0.4685)  4 O 1.45-1.52
B (0.5152, 0.6267, 0.7572)  4 O 1.44-1.52
B (0.5424, 0.5004, 0.9685)  4 O 1.45-1.52
B (0.5617, 0.9369, 0.4974)  4 O 1.48-1.50
B (0.5822, 0.1442, 0.5979)  4 O 1.45-1.54
B (0.6210, 0.6220, 0.3671)  3 O 1.37-1.39
B (0.6220, 0.6210, 0.8671)  3 O 1.37-1.39
B (0.6267, 0.5152, 0.2572)  4 O 1.44-1.52
B (0.6852, 0.1938, 0.2271)  4 O 1.46-1.51
B (0.6857, 0.3269, 0.9032)  4 O 1.44-1.52
B (0.8923, 0.3104, 0.5396)  4 O 1.45-1.54
B (0.9074, 0.0986, 0.6248)  3 O 1.37-1.38
B (0.9369, 0.5617, 0.9974)  4 O 1.48-1.50
H (0.0522, 0.0862, 0.8469)  1 O 1.00
H (0.0728, 0.7276, 0.3620)  1 O 0.98
H (0.0808, 0.2833, 0.1350)  1 O 1.00
H (0.0862, 0.0522, 0.3469)  1 O 1.00
H (0.1389, 0.4996, 0.4878)  1 O 1.01
H (0.1686, 0.2494, 0.4026)  1 O 1.02
H (0.2494, 0.1686, 0.9026)  1 O 1.02
H (0.2833, 0.0808, 0.6350)  1 O 1.00
H (0.3617, 0.5743, 0.0263)  1 O 1.01
H (0.4996, 0.1389, 0.9878)  1 O 1.01
H (0.5384, 0.9554, 0.1460)  1 O 0.99
H (0.5743, 0.3617, 0.5263)  1 O 1.01
H (0.7276, 0.0728, 0.8620)  1 O 0.98
H (0.9554, 0.5384, 0.6460)  1 O 0.99
O (0.0034, 0.9938, 0.6521)  1 B 1.37
O (0.0118, 0.2220, 0.5791)  2 B 1.38-1.54
O (0.0553, 0.5192, 0.5202)  1 H 1.01
O (0.0589, 0.0863, 0.3885)  2 H 1.00-1.02
O (0.0642, 0.4845, 0.7603)  2 B 1.38-1.51
O (0.0721, 0.7090, 0.1405)  2 B 1.38-1.54
O (0.0863, 0.0589, 0.8885)  2 H 1.00-1.02
O (0.1097, 0.6396, 0.6631)  1 H 0.99
O (0.1139, 0.6159, 0.3683)  1 H 0.98
O (0.1223, 0.9686, 0.2768)  1 B 1.38
O (0.1396, 0.7702, 0.9895)  2 B 1.46-1.48
O (0.1833, 0.8669, 0.7587)  1 B 1.46
O (0.1955, 0.4401, 0.1323)  1 H 1.00
O (0.2220, 0.0118, 0.0791)  2 B 1.38-1.54
O (0.2906, 0.4967, 0.4357)  2 B 1.47-1.48, 2 H 1.61-1.64
O (0.3403, 0.3840, 0.7566)  2 B 1.36-1.52
O (0.3501, 0.7474, 0.0761)  2 B 1.47, 1 H 1.64
O (0.3570, 0.4436, 0.0032)  1 H 1.01
O (0.3840, 0.3403, 0.2566)  2 B 1.36-1.52
O (0.4046, 0.8851, 0.4428)  2 B 1.44-1.50
O (0.4244, 0.7452, 0.7278)  2 B 1.44-1.46
O (0.4401, 0.1955, 0.6323)  1 H 1.00
O (0.4436, 0.3570, 0.5032)  1 H 1.01
O (0.4581, 0.9675, 0.5500)  2 B 1.45-1.48
O (0.4845, 0.0642, 0.2603)  2 B 1.38-1.51
O (0.4931, 0.7181, 0.3589)  2 B 1.38-1.52
O (0.4967, 0.2906, 0.9357)  2 B 1.47-1.48, 2 H 1.61-1.64
O (0.5192, 0.0553, 0.0202)  1 H 1.01
O (0.5546, 0.6523, 0.9219)  2 B 1.39-1.52
O (0.5794, 0.7192, 0.8215)  2 B 1.37-1.49
O (0.6069, 0.7539, 0.5065)  2 B 1.47-1.50
O (0.6159, 0.1139, 0.8683)  1 H 0.98
O (0.6308, 0.6898, 0.2253)  1 B 1.45
O (0.6396, 0.1097, 0.1631)  1 H 0.99
O (0.6523, 0.5546, 0.4219)  2 B 1.39-1.52
O (0.6898, 0.6308, 0.7253)  1 B 1.45
O (0.7090, 0.0721, 0.6405)  2 B 1.38-1.54
O (0.7181, 0.4931, 0.8589)  2 B 1.38-1.52
O (0.7192, 0.5794, 0.3215)  2 B 1.37-1.49
O (0.7452, 0.4244, 0.2278)  2 B 1.44-1.46
O (0.7474, 0.3501, 0.5761)  2 B 1.47, 1 H 1.64
O (0.7539, 0.6069, 0.0065)  2 B 1.47-1.50
O (0.7702, 0.1396, 0.4895)  2 B 1.46-1.48
O (0.8669, 0.1833, 0.2587)  1 B 1.46
O (0.8851, 0.4046, 0.9428)  2 B 1.44-1.50
O (0.9675, 0.4581, 0.0500)  2 B 1.45-1.48
O (0.9686, 0.1223, 0.7768)  1 B 1.38
O (0.9938, 0.0034, 0.1521)  1 B 1.37

Values from the calculation:
As for the space-group type: Cc (9). The density of states at the Fermi level is 0.00 states/eV/cell. For the total energy, the calculation gives -7.33 eV/atom.